First-principles (PBE) data for a relaxed structure of PmPrDy3, as listed in Alexandria via LeMat-Bulk.

Cell: 3.5759 8.7438 11.5149 Å, 109.59 98.93 90.00°
With the nearest neighbours (Å) after each atom.
Fractional coordinates of all 10 atoms:
Pm 0.8682 0.7707 0.7364  7 Dy 3.50-3.58, 2 Pm 3.58, 2 Pr 3.66
Pm 0.1318 0.2293 0.2636  7 Dy 3.50-3.58, 2 Pm 3.58, 2 Pr 3.66
Dy 0.6775 0.9363 0.3549  1 Pr 3.54, 2 Pm 3.56, 9 Dy 3.56-3.60
Dy 0.0315 0.8240 0.0630  2 Pm 3.50-3.58, 5 Dy 3.58-3.81, 4 Pr 3.63-3.68
Pr 0.4211 0.4764 0.8421  3 Pr 3.47-3.58, 7 Dy 3.54-3.68, 2 Pm 3.66
Dy 0.9685 0.1760 0.9370  2 Pm 3.50-3.58, 5 Dy 3.58-3.81, 4 Pr 3.63-3.68
Dy 0.3225 0.0637 0.6451  1 Pr 3.54, 2 Pm 3.56, 9 Dy 3.56-3.60
Dy 0.7734 0.3534 0.5468  3 Pm 3.52-3.55, 7 Dy 3.56-3.58, 2 Pr 3.63
Dy 0.2266 0.6466 0.4532  3 Pm 3.52-3.55, 7 Dy 3.56-3.58, 2 Pr 3.63
Pr 0.5789 0.5236 0.1579  3 Pr 3.47-3.58, 7 Dy 3.54-3.68, 2 Pm 3.66

## Properties
For the spin magnetization, the calculation gives 0.000 Bohr magnetons per cell. Its crystal system is monoclinic. As for the density of states at the Fermi level: 7.7 states/eV/f.u. The value obtained for the total energy is -4.594 eV/atom. The formation energy is 0.07 eV/atom. As for the energy above the most stable polymorph in this dataset: 0.0000 eV per atom.